# Na3MoP2O8 | Alexandria via LeMat-Bulk | PBE with a Hubbard U | relaxed
# crystal system	trigonal
# E	-91.173	eV per cell
data_Na3MoP2O8
_chemical_formula_sum 'Na3 Mo1 P2 O8'
_cell_length_a 5.4326
_cell_length_b 5.4326
_cell_length_c 6.9723
_cell_angle_alpha 90.00
_cell_angle_beta 90.00
_cell_angle_gamma 120.00
_symmetry_space_group_name_H-M 'P -3 m 1'
_symmetry_Int_Tables_number 164
_symmetry_space_group_name_Hall '-P 3 2"'
loop_
_atom_site_label
_atom_site_type_symbol
_atom_site_fract_x
_atom_site_fract_y
_atom_site_fract_z
Na1 Na 0.0000 0.0000 0.0000
Na2 Na 0.3333 0.6667 0.7024
Mo1 Mo 0.0000 0.0000 0.5000
P1 P 0.3333 0.6667 0.2295
O1 O 0.1783 0.3565 0.3106
O2 O 0.3333 0.6667 0.0142